# 1
## CaSb2Te (PBE)

Data for CaSb2Te after structural relaxation.

Results
As for the calculated volume: 29.20 A^3/atom. The calculation puts the density of states at the Fermi level at 0.538 states/eV/atom. The value obtained for the uncorrected formation energy is -0.452 eV per atom.

Cell: 4.194 5.257 10.595 Å, 90.00 90.00 90.00°
Space group Imm2 (No. 44)
Symmetry-distinct sites (fractional):
Ca (0.000, 0.000, 0.000) [2 per cell]
Sb (0.000, 0.000, 0.476) [2 per cell]
Sb (0.000, 0.500, 0.772) [2 per cell]
Te (0.000, 0.500, 0.209) [2 per cell]



# 2
## CaSbTe2 (PBE)

Data for CaSbTe2 after structural relaxation.

Results
As for the calculated volume: 29.80 A^3/atom. The calculation puts the density of states at the Fermi level at 1.044 states/eV/atom. The value obtained for the uncorrected formation energy is -0.205 eV per atom.

Cell: 7.812 7.812 7.812 Å, 90.00 90.00 90.00°
Space group F-43m (No. 216)
Symmetry-distinct sites (fractional):
Ca (0.000, 0.000, 0.000) [4 per cell]
Sb (0.250, 0.250, 0.250) [4 per cell]
Te (0.000, 0.000, 0.500) [4 per cell]
Te (0.250, 0.250, 0.750) [4 per cell]



# 3
## CaSbTe2 (PBE)

Data for CaSbTe2 after structural relaxation.

Results
As for the calculated volume: 28.93 A^3/atom. The calculation puts the density of states at the Fermi level at 0.338 states/eV/atom. The value obtained for the uncorrected formation energy is -0.607 eV per atom.

Cell: 5.439 5.439 3.912 Å, 90.00 90.00 90.00°
Space group P4/mmm (No. 123)
Symmetry-distinct sites (fractional):
Ca (0.000, 0.000, 0.000) [1 per cell]
Sb (0.500, 0.500, 0.000) [1 per cell]
Te (0.000, 0.500, 0.500) [2 per cell]



# 4
## CaSb3Te (PBE)

Data for CaSb3Te after structural relaxation.

Results
As for the calculated volume: 37.45 A^3/atom. For the energy above the lowest structure with this stoichiometry, the calculation gives 0.354 eV per atom. The calculation puts the density of states at the Fermi level at 1.339 states/eV/atom. The value obtained for the uncorrected formation energy is 0.674 eV per atom.

Cell: 5.721 5.721 5.721 Å, 90.00 90.00 90.00°
Space group Pm-3m (No. 221)
Symmetry-distinct sites (fractional):
Ca (0.000, 0.000, 0.000) [1 per cell]
Sb (0.000, 0.000, 0.500) [3 per cell]
Te (0.500, 0.500, 0.500) [1 per cell]



# 5
## CaSb2Te (PBE)

Data for CaSb2Te after structural relaxation.

Results
As for the calculated volume: 29.32 A^3/atom. The calculation puts the density of states at the Fermi level at 0.516 states/eV/atom. The value obtained for the uncorrected formation energy is -0.316 eV per atom.

Cell: 7.770 7.770 7.770 Å, 90.00 90.00 90.00°
Space group F-43m (No. 216)
Symmetry-distinct sites (fractional):
Ca (0.000, 0.000, 0.000) [4 per cell]
Sb (0.000, 0.000, 0.500) [4 per cell]
Sb (0.250, 0.250, 0.750) [4 per cell]
Te (0.250, 0.250, 0.250) [4 per cell]



# 6
## Ca2SbTe (PBE)

Data for Ca2SbTe after structural relaxation.

Results
As for the calculated volume: 29.97 A^3/atom. For the energy above the lowest structure with this stoichiometry, the calculation gives 0.723 eV per atom. The calculation puts the density of states at the Fermi level at 1.165 states/eV/atom. The value obtained for the uncorrected formation energy is -0.440 eV per atom.

Cell: 7.827 7.827 7.827 Å, 90.00 90.00 90.00°
Space group F-43m (No. 216)
Symmetry-distinct sites (fractional):
Ca (0.000, 0.000, 0.000) [4 per cell]
Ca (0.250, 0.250, 0.250) [4 per cell]
Sb (0.000, 0.000, 0.500) [4 per cell]
Te (0.250, 0.250, 0.750) [4 per cell]



# 7
## CaSb2Te (PBE)

Data for CaSb2Te after structural relaxation.

Results
As for the calculated volume: 28.52 A^3/atom. The calculation puts the density of states at the Fermi level at 0.538 states/eV/atom. The value obtained for the uncorrected formation energy is -0.332 eV per atom.

Cell: 5.441 5.441 3.854 Å, 90.00 90.00 90.00°
Space group P4/mmm (No. 123)
Symmetry-distinct sites (fractional):
Ca (0.000, 0.000, 0.000) [1 per cell]
Sb (0.000, 0.500, 0.500) [2 per cell]
Te (0.500, 0.500, 0.000) [1 per cell]



# 8
## Ca5Sb2Te2 (PBE)

Data for Ca5Sb2Te2 after structural relaxation.

Results
As for the calculated volume: 31.76 A^3/atom. The value obtained for the uncorrected formation energy is -1.287 eV per atom.

Cell: 15.542 8.553 8.601 Å, 90.00 90.00 90.00°
Space group Cmce (No. 64)
Symmetry-distinct sites (fractional):
Ca (0.000, 0.000, 0.000) [4 per cell]
Ca (0.128, 0.154, 0.350) [16 per cell]
Sb (0.000, 0.153, 0.654) [8 per cell]
Te (0.204, 0.000, 0.000) [8 per cell]



# 9
## CaSbTe2 (PBE)

Data for CaSbTe2 after structural relaxation.

Results
As for the calculated volume: 30.04 A^3/atom. The calculation puts the density of states at the Fermi level at 0.711 states/eV/atom. The value obtained for the uncorrected formation energy is -0.539 eV per atom.

Cell: 4.462 4.462 12.067 Å, 90.00 90.00 90.00°
Space group I-4m2 (No. 119)
Symmetry-distinct sites (fractional):
Ca (0.000, 0.000, 0.000) [2 per cell]
Sb (0.000, 0.500, 0.750) [2 per cell]
Te (0.000, 0.000, 0.500) [2 per cell]
Te (0.000, 0.500, 0.250) [2 per cell]



# 10
## CaSbTe (PBE)

Data for CaSbTe after structural relaxation.

Results
As for the calculated volume: 35.44 A^3/atom. The calculation puts the density of states at the Fermi level at 0.726 states/eV/atom. The value obtained for the uncorrected formation energy is -0.329 eV per atom.

Cell: 7.520 7.520 7.520 Å, 90.00 90.00 90.00°
Space group F-43m (No. 216)
Symmetry-distinct sites (fractional):
Ca (0.000, 0.000, 0.000) [4 per cell]
Sb (0.250, 0.250, 0.250) [4 per cell]
Te (0.000, 0.000, 0.500) [4 per cell]



# 11
## CaSb2Te (PBE)

Data for CaSb2Te after structural relaxation.

Results
As for the calculated volume: 43.89 A^3/atom. The calculation puts the density of states at the Fermi level at 0.018 states/eV/atom. The value obtained for the uncorrected formation energy is -0.037 eV per atom.

Cell: 6.769 6.769 15.324 Å, 90.00 90.00 90.00°
Space group I-42d (No. 122)
Symmetry-distinct sites (fractional):
Ca (0.000, 0.000, 0.000) [4 per cell]
Sb (0.229, 0.250, 0.625) [8 per cell]
Te (0.000, 0.000, 0.500) [4 per cell]



# 12
## CaSb2Te (PBE)

Data for CaSb2Te after structural relaxation.

Results
As for the calculated volume: 32.36 A^3/atom. The value obtained for the uncorrected formation energy is -0.610 eV per atom.

Cell: 4.4462 4.4462 22.6850 Å, 90.00 90.00 120.00°
Space group R3m (No. 160, hexagonal axes)
Symmetry-distinct sites (fractional):
Ca (0.0000, 0.0000, 0.0000) [3 per cell]
Sb (0.0000, 0.0000, 0.4963) [3 per cell]
Sb (0.0000, 0.0000, 0.7601) [3 per cell]
Te (0.0000, 0.0000, 0.2554) [3 per cell]



# 13
## Ca4SbTe (PBE)

Data for Ca4SbTe after structural relaxation.

Results
As for the calculated volume: 32.48 A^3/atom. The calculation puts the density of states at the Fermi level at 0.685 states/eV/atom. The value obtained for the uncorrected formation energy is -0.194 eV per atom.

Cell: 9.203 9.203 9.203 Å, 90.00 90.00 90.00°
Space group F-43m (No. 216)
Symmetry-distinct sites (fractional):
Ca (0.125, 0.125, 0.125) [16 per cell]
Sb (0.250, 0.250, 0.750) [4 per cell]
Te (0.000, 0.000, 0.500) [4 per cell]